No. 1
{"formula": "Ba2CeSnS6", "functional": "PBE", "state": "optimized geometry", "e_tot_ev_per_atom": -5.349, "lattice": [[7.178, 0.000, -0.046], [0.000, 7.374, 0.000], [-0.002, 0.000, 10.279]], "species": ["Ba", "Ba", "Ba", "Ba", "Ce", "Ce", "Sn", "Sn", "S", "S", "S", "S", "S", "S", "S", "S", "S", "S", "S", "S"], "fractional_positions": [[0.016, 0.940, 0.248], [0.516, 0.560, 0.748], [0.984, 0.060, 0.752], [0.484, 0.440, 0.252], [0.500, 0.000, 0.000], [0.000, 0.500, 0.500], [0.500, 0.000, 0.500], [0.000, 0.500, 0.000], [0.289, 0.700, 0.041], [0.789, 0.800, 0.541], [0.711, 0.300, 0.959], [0.211, 0.200, 0.459], [0.301, 0.712, 0.461], [0.801, 0.788, 0.961], [0.699, 0.288, 0.539], [0.199, 0.212, 0.039], [0.924, 0.510, 0.244], [0.424, 0.990, 0.744], [0.076, 0.490, 0.756], [0.576, 0.010, 0.256]]}

No. 2
{"formula": "Ba2CeThS6", "functional": "PBE", "state": "optimized geometry", "e_tot_ev_per_atom": -6.194, "lattice": [[7.331, 0.000, -0.032], [0.000, 7.654, 0.000], [0.019, 0.000, 10.544]], "species": ["Ba", "Ba", "Ba", "Ba", "Ce", "Ce", "Th", "Th", "S", "S", "S", "S", "S", "S", "S", "S", "S", "S", "S", "S"], "fractional_positions": [[0.020, 0.936, 0.250], [0.520, 0.564, 0.750], [0.980, 0.064, 0.750], [0.480, 0.436, 0.250], [0.500, 0.000, 0.500], [0.000, 0.500, 0.000], [0.500, 0.000, 0.000], [0.000, 0.500, 0.500], [0.297, 0.701, 0.051], [0.797, 0.799, 0.551], [0.703, 0.299, 0.949], [0.203, 0.201, 0.449], [0.301, 0.705, 0.448], [0.801, 0.795, 0.948], [0.699, 0.295, 0.552], [0.199, 0.205, 0.052], [0.903, 0.529, 0.248], [0.403, 0.971, 0.748], [0.097, 0.471, 0.752], [0.597, 0.029, 0.252]]}

No. 3
{"formula": "BaCeTl2S4", "functional": "PBE", "state": "optimized geometry", "e_tot_ev_per_atom": -4.951, "lattice": [[-2.178, -1.433, -3.442], [1.244, -7.344, 2.271], [-5.715, -2.205, 4.534]], "species": ["Ba", "Ce", "Tl", "Tl", "S", "S", "S", "S"], "fractional_positions": [[0.500, 0.500, 0.000], [0.000, 0.500, 0.500], [0.000, 0.000, 0.000], [0.500, 0.000, 0.500], [0.000, 0.710, 0.719], [0.000, 0.290, 0.281], [0.500, 0.704, 0.293], [0.500, 0.296, 0.707]]}

No. 4
{"formula": "Ba3CeU2S9", "functional": "PBE", "state": "optimized geometry", "e_tot_ev_per_atom": -6.487, "lattice": [[-6.528, 2.260, 2.840], [3.734, -5.607, 3.224], [4.403, 6.005, 5.343]], "species": ["Ba", "Ba", "Ba", "Ce", "U", "U", "S", "S", "S", "S", "S", "S", "S", "S", "S"], "fractional_positions": [[0.333, 0.667, 0.668], [0.000, 0.000, 0.000], [0.667, 0.333, 0.332], [0.000, 0.000, 0.500], [0.333, 0.667, 0.165], [0.667, 0.333, 0.835], [0.831, 0.169, 0.672], [0.831, 0.662, 0.672], [0.338, 0.169, 0.672], [0.662, 0.831, 0.328], [0.169, 0.338, 0.328], [0.169, 0.831, 0.328], [0.500, 0.000, 0.000], [0.000, 0.500, 0.000], [0.500, 0.500, 0.000]]}

No. 5
{"formula": "BaCeUS6", "functional": "PBE", "state": "optimized geometry", "e_tot_ev_per_atom": -6.430, "lattice": [[-0.520, 6.923, -1.138], [-5.276, -4.274, -1.841], [-5.344, 1.531, 11.760]], "species": ["Ba", "Ba", "Ce", "Ce", "U", "U", "S", "S", "S", "S", "S", "S", "S", "S", "S", "S", "S", "S"], "fractional_positions": [[0.000, 0.000, 0.000], [0.000, 0.000, 0.500], [0.333, 0.667, 0.250], [0.667, 0.333, 0.750], [0.667, 0.333, 0.250], [0.333, 0.667, 0.750], [0.630, 0.612, 0.139], [0.982, 0.370, 0.139], [0.370, 0.982, 0.639], [0.018, 0.630, 0.861], [0.388, 0.370, 0.361], [0.982, 0.612, 0.361], [0.612, 0.982, 0.861], [0.630, 0.018, 0.361], [0.018, 0.388, 0.639], [0.388, 0.018, 0.139], [0.612, 0.630, 0.639], [0.370, 0.388, 0.861]]}

No. 6
{"formula": "Ba2CeZrS6", "functional": "PBE", "state": "optimized geometry", "e_tot_ev_per_atom": -6.185, "lattice": [[-3.963, -4.993, -3.275], [4.001, -5.308, 3.251], [-6.483, -0.002, 7.977]], "species": ["Ba", "Ba", "Ba", "Ba", "Ce", "Ce", "Zr", "Zr", "S", "S", "S", "S", "S", "S", "S", "S", "S", "S", "S", "S"], "fractional_positions": [[0.016, 0.941, 0.249], [0.516, 0.559, 0.749], [0.984, 0.059, 0.751], [0.484, 0.441, 0.251], [0.500, 0.000, 0.000], [0.000, 0.500, 0.500], [0.500, 0.000, 0.500], [0.000, 0.500, 0.000], [0.288, 0.700, 0.040], [0.788, 0.800, 0.540], [0.712, 0.300, 0.960], [0.212, 0.200, 0.460], [0.301, 0.713, 0.459], [0.801, 0.787, 0.959], [0.699, 0.287, 0.541], [0.199, 0.213, 0.041], [0.923, 0.514, 0.243], [0.423, 0.986, 0.743], [0.077, 0.486, 0.757], [0.577, 0.014, 0.257]]}

No. 7
{"formula": "BaCe2Sb3", "functional": "PBE", "state": "optimized geometry", "e_tot_ev_per_atom": -5.338, "lattice": [[-2.349, -1.776, -3.560], [6.908, -1.411, -3.854], [-1.741, -9.984, 6.130]], "species": ["Ba", "Ba", "Ce", "Ce", "Ce", "Ce", "Sb", "Sb", "Sb", "Sb", "Sb", "Sb"], "fractional_positions": [[0.250, 0.537, 0.835], [0.750, 0.463, 0.165], [0.250, 0.749, 0.491], [0.750, 0.251, 0.509], [0.750, 0.014, 0.824], [0.250, 0.986, 0.176], [0.750, 0.646, 0.643], [0.250, 0.354, 0.357], [0.750, 0.881, 0.344], [0.250, 0.119, 0.656], [0.250, 0.206, 0.985], [0.750, 0.794, 0.015]]}

No. 8
{"formula": "BaCe4Sb5", "functional": "PBE", "state": "optimized geometry", "e_tot_ev_per_atom": -5.621, "lattice": [[-1.232, 2.649, -3.519], [5.318, -1.867, -3.267], [-7.952, -9.219, -1.182]], "species": ["Ba", "Ce", "Ce", "Ce", "Ce", "Sb", "Sb", "Sb", "Sb", "Sb"], "fractional_positions": [[0.000, 0.000, 0.000], [0.400, 0.400, 0.800], [0.796, 0.796, 0.592], [0.204, 0.204, 0.408], [0.600, 0.600, 0.200], [0.612, 0.112, 0.224], [0.802, 0.302, 0.604], [0.198, 0.698, 0.396], [0.000, 0.500, 0.000], [0.388, 0.888, 0.776]]}